Record 1
The following is a DFT calculation (PBE-GGA) of a relaxed structure of InIrSe2.

Cell lengths 3.1729, 3.1729, 8.3710 Å; angles 90.00, 90.00, 90.00 degrees
Fractional coordinates of all 4 atoms:
In: 0.0000 0.0000 0.0000
Ir: 0.0000 0.0000 0.5000
Se: 0.5000 0.5000 0.3190
Se: 0.5000 0.5000 0.6810

Calculated values
For the raw formation energy, the calculation gives 21 kJ/mol of atoms.

---

Record 2
The following is a DFT calculation (PBE-GGA) of a relaxed structure of ThMg5Pt2.

Cell lengths 6.8712, 6.8712, 6.8712 Å; angles 145.76, 103.28, 86.77 degrees
Fractional coordinates of all 8 atoms:
Th: 0.0000 0.0000 0.0000
Mg: 0.1551 0.3394 0.8158
Mg: 0.4764 0.6606 0.8158
Mg: 0.5000 0.0000 0.5000
Mg: 0.5236 0.3394 0.1842
Mg: 0.8449 0.6606 0.1842
Pt: 0.2174 0.7174 0.5000
Pt: 0.7826 0.2826 0.5000

Calculated values
The value obtained for the formation energy is -4.99 eV per formula unit.

---

Record 3
The following is a DFT calculation (PBE-GGA) of a relaxed structure of SrAg4Pb4.

Cell lengths 7.1973, 7.1973, 7.1973 Å; angles 98.53, 98.53, 134.68 degrees
Fractional coordinates of all 9 atoms:
Sr: 0.0000 0.0000 0.0000
Ag: 0.3048 0.4106 0.7155
Ag: 0.4106 0.6952 0.1058
Ag: 0.5894 0.3048 0.8942
Ag: 0.6952 0.5894 0.2845
Pb: 0.0939 0.6423 0.7361
Pb: 0.3577 0.0939 0.4516
Pb: 0.6423 0.9061 0.5484
Pb: 0.9061 0.3577 0.2639

Calculated values
The value obtained for the formation energy is -0.25 eV per formula unit.

---

no.,ρ (g/cm³)
1,9.162
2,7.168
3,9.150